# 1
Here is a relaxed InGa3F crystal from Alexandria. Energies are from GGA-PBE.

a = 4.7373 Å, b = 4.7373 Å, c = 4.7373 Å
α = 90.00°, β = 90.00°, γ = 90.00°
Space group Pm-3m (No. 221)
Inequivalent atoms, fractional coordinates:
In 0.0000 0.0000 0.0000 (multiplicity 1)
Ga 0.0000 0.5000 0.5000 (multiplicity 3)
F 0.5000 0.5000 0.5000 (multiplicity 1)

Summary:
Density   5.36 g cm⁻³
ΔE_f (raw)   -0.3874 eV per atom
Excess energy over the best structure of this formula in the dataset   0 meV/atom

---

# 2
Here is a relaxed InGaF2 crystal from Alexandria. Energies are from GGA-PBE.

a = 5.8399 Å, b = 5.8399 Å, c = 11.6130 Å
α = 90.00°, β = 90.00°, γ = 90.00°
Space group I-42d (No. 122)
Inequivalent atoms, fractional coordinates:
In 0.0000 0.0000 0.0000 (multiplicity 4)
Ga 0.0000 0.0000 0.5000 (multiplicity 4)
F 0.2268 0.2500 0.6250 (multiplicity 8)

Summary:
Density   3.73 g cm⁻³
ΔE_f (raw)   -1.4758 eV per atom
Excess energy over the best structure of this formula in the dataset   0 meV/atom

---

# 3
Here is a relaxed InGaF6 crystal from Alexandria. Energies are from GGA-PBE.

a = 5.1157 Å, b = 5.1157 Å, c = 9.4587 Å
α = 90.00°, β = 90.00°, γ = 120.00°
Space group P-31c (No. 163)
Inequivalent atoms, fractional coordinates:
In 0.3333 0.6667 0.2500 (multiplicity 2)
Ga 0.0000 0.0000 0.0000 (multiplicity 2)
F 0.0210 0.3164 0.1177 (multiplicity 12)

Summary:
Density   4.62 g cm⁻³
ΔE_f (raw)   -2.5564 eV per atom

---

# 4
Here is a relaxed In5GaF8 crystal from Alexandria. Energies are from GGA-PBE.

a = 7.5120 Å, b = 7.5120 Å, c = 10.6464 Å
α = 90.00°, β = 90.00°, γ = 90.00°
Space group I-4 (No. 82)
Inequivalent atoms, fractional coordinates:
In 0.0000 0.0000 0.0000 (multiplicity 2)
In 0.0203 0.2446 0.6251 (multiplicity 8)
Ga 0.0000 0.5000 0.2500 (multiplicity 2)
F 0.0174 0.3068 0.8468 (multiplicity 8)
F 0.0826 0.3210 0.1536 (multiplicity 8)

Summary:
Density   4.40 g cm⁻³
ΔE_f (raw)   -1.9412 eV per atom

---

# 5
Here is a relaxed InGa2F8 crystal from Alexandria. Energies are from GGA-PBE.

a = 8.2988 Å, b = 6.4618 Å, c = 5.5171 Å
α = 90.00°, β = 101.40°, γ = 90.00°
Space group C2/m (No. 12)
Inequivalent atoms, fractional coordinates:
In 0.0000 0.0000 0.0000 (multiplicity 2)
Ga 0.1815 0.5000 0.4501 (multiplicity 4)
F 0.0659 0.5000 0.7168 (multiplicity 4)
F 0.1393 0.1911 0.3413 (multiplicity 8)
F 0.2129 0.0000 0.8196 (multiplicity 4)

Summary:
Density   4.65 g cm⁻³
ΔE_f (raw)   -2.3512 eV per atom
Excess energy over the best structure of this formula in the dataset   25 meV/atom

---

# 6
Here is a relaxed In2GaF5 crystal from Alexandria. Energies are from GGA-PBE.

a = 6.1703 Å, b = 6.1703 Å, c = 9.3351 Å
α = 90.00°, β = 90.00°, γ = 90.00°
Space group I4mm (No. 107)
Inequivalent atoms, fractional coordinates:
In 0.0000 0.5000 0.0000 (multiplicity 4)
Ga 0.0000 0.0000 0.2070 (multiplicity 2)
F 0.0000 0.0000 0.4011 (multiplicity 2)
F 0.2092 0.2092 0.1500 (multiplicity 8)

Summary:
Density   3.68 g cm⁻³
ΔE_f (raw)   -2.1442 eV per atom
Excess energy over the best structure of this formula in the dataset   29 meV/atom

---

# 7
Here is a relaxed InGaF2 crystal from Alexandria. Energies are from GGA-PBE.

a = 6.5194 Å, b = 6.5194 Å, c = 6.5194 Å
α = 90.00°, β = 90.00°, γ = 90.00°
Space group Fm-3m (No. 225)
Inequivalent atoms, fractional coordinates:
In 0.0000 0.0000 0.0000 (multiplicity 4)
Ga 0.0000 0.0000 0.5000 (multiplicity 4)
F 0.2500 0.2500 0.2500 (multiplicity 8)

Summary:
Density   5.33 g cm⁻³
ΔE_f (raw)   -1.4144 eV per atom
Excess energy over the best structure of this formula in the dataset   61 meV/atom

---

# 8
Here is a relaxed InGa3F crystal from Alexandria. Energies are from GGA-PBE.

a = 5.3696 Å, b = 5.3696 Å, c = 5.3696 Å
α = 90.00°, β = 90.00°, γ = 90.00°
Space group Pm-3m (No. 221)
Inequivalent atoms, fractional coordinates:
In 0.0000 0.0000 0.0000 (multiplicity 1)
Ga 0.0000 0.0000 0.5000 (multiplicity 3)
F 0.5000 0.5000 0.5000 (multiplicity 1)

Summary:
Density   3.68 g cm⁻³
ΔE_f (raw)   0.1285 eV per atom
Excess energy over the best structure of this formula in the dataset   516 meV/atom